This record from Alexandria via LeMat-Bulk describes Tm4Sb2O after structural relaxation. The functional is PBE.

a b c (Å): 8.997 8.997 8.997
angles (deg): 151.60 151.60 40.59
Sites, in units of the cell vectors:
Tm: 0.000 0.500 0.500
Tm: 0.182 0.182 0.000
Tm: 0.500 0.000 0.500
Tm: 0.818 0.818 0.000
Sb: 0.364 0.364 0.000
Sb: 0.636 0.636 0.000
O: 0.000 0.000 0.000

Output
The space-group type is I4/mmm (139). Its total energy is -5.824 eV/atom. The value obtained for the density of states at the Fermi level is 2.73 states/eV/f.u. The total moment is 0.00 μB per atom.